# NdGaAu2, optimized geometry, DFT GGA-PBEsol
# - DFT total energy: -75.20 eV for the cell shown
data_NdGaAu2
_cell_length_a 6.885
_cell_length_b 6.885
_cell_length_c 6.885
_cell_angle_alpha 90.00
_cell_angle_beta 90.00
_cell_angle_gamma 90.00
_space_group_name_H-M_alt 'F m -3 m'
_space_group_IT_number 225
_space_group_name_Hall '-F 4 2 3'
loop_
_atom_site_label
_atom_site_type_symbol
_atom_site_fract_x
_atom_site_fract_y
_atom_site_fract_z
Nd1 Nd 0.000 0.000 0.000
Ga1 Ga 0.000 0.000 0.500
Au1 Au 0.250 0.250 0.250